Density functional theory data (GGA-PBE) for CuPbO3 after structural relaxation.

```
data_CuPbO3
_space_group_name_H-M_alt 'P 1'
_space_group_IT_number 1
_cell_length_a 3.828
_cell_length_b 3.828
_cell_length_c 3.828
_cell_angle_alpha 90.00
_cell_angle_beta 90.00
_cell_angle_gamma 90.00
loop_
_space_group_symop_operation_xyz
'x,y,z'
loop_
_atom_site_label
_atom_site_type_symbol
_atom_site_fract_x
_atom_site_fract_y
_atom_site_fract_z
Cu1 Cu 0.000 0.000 0.000
Pb1 Pb 0.500 0.500 0.500
O1 O 0.000 0.000 0.500
O2 O 0.000 0.500 0.000
O3 O 0.500 0.000 0.000
```

Calculated values
Space group: No. 221

---

Density functional theory data (GGA-PBE) for Cu2Pb2O7 after structural relaxation.

```
data_Cu2Pb2O7
_space_group_name_H-M_alt 'P 1'
_space_group_IT_number 1
_cell_length_a 7.150
_cell_length_b 7.150
_cell_length_c 7.150
_cell_angle_alpha 60.00
_cell_angle_beta 60.00
_cell_angle_gamma 60.00
loop_
_space_group_symop_operation_xyz
'x,y,z'
loop_
_atom_site_label
_atom_site_type_symbol
_atom_site_fract_x
_atom_site_fract_y
_atom_site_fract_z
Cu1 Cu 0.000 0.000 0.000
Cu2 Cu 0.000 0.000 0.500
Cu3 Cu 0.000 0.500 0.000
Cu4 Cu 0.500 0.000 0.000
Pb1 Pb 0.000 0.500 0.500
Pb2 Pb 0.500 0.000 0.500
Pb3 Pb 0.500 0.500 0.000
Pb4 Pb 0.500 0.500 0.500
O1 O 0.088 0.088 0.662
O2 O 0.088 0.662 0.088
O3 O 0.088 0.662 0.662
O4 O 0.338 0.338 0.912
O5 O 0.338 0.912 0.338
O6 O 0.338 0.912 0.912
O7 O 0.375 0.375 0.375
O8 O 0.625 0.625 0.625
O9 O 0.662 0.088 0.088
O10 O 0.662 0.088 0.662
O11 O 0.662 0.662 0.088
O12 O 0.912 0.338 0.338
O13 O 0.912 0.338 0.912
O14 O 0.912 0.912 0.338
```

Calculated values
Space group: No. 227

---

Density functional theory data (GGA-PBE) for Cu2PbO after structural relaxation.

```
data_Cu2PbO
_space_group_name_H-M_alt 'P 1'
_space_group_IT_number 1
_cell_length_a 5.777
_cell_length_b 5.777
_cell_length_c 5.777
_cell_angle_alpha 118.46
_cell_angle_beta 118.46
_cell_angle_gamma 92.68
loop_
_space_group_symop_operation_xyz
'x,y,z'
loop_
_atom_site_label
_atom_site_type_symbol
_atom_site_fract_x
_atom_site_fract_y
_atom_site_fract_z
Cu1 Cu 0.375 0.238 0.363
Cu2 Cu 0.762 0.125 0.137
Cu3 Cu 0.875 0.012 0.637
Cu4 Cu 0.988 0.625 0.863
Pb1 Pb 0.250 0.750 0.500
Pb2 Pb 0.500 0.500 0.000
O1 O 0.000 0.000 0.000
O2 O 0.750 0.250 0.500
```

Calculated values
Excess energy over the best structure of this formula in the dataset in eV/atom: 0.0000
Space group: No. 122

---

Density functional theory data (GGA-PBE) for Cu3PbO3 after structural relaxation.

```
data_Cu3PbO3
_space_group_name_H-M_alt 'P 1'
_space_group_IT_number 1
_cell_length_a 7.398
_cell_length_b 7.398
_cell_length_c 7.398
_cell_angle_alpha 46.95
_cell_angle_beta 46.95
_cell_angle_gamma 46.95
loop_
_space_group_symop_operation_xyz
'x,y,z'
loop_
_atom_site_label
_atom_site_type_symbol
_atom_site_fract_x
_atom_site_fract_y
_atom_site_fract_z
Cu1 Cu 0.111 0.427 0.789
Cu2 Cu 0.211 0.889 0.573
Cu3 Cu 0.427 0.789 0.111
Cu4 Cu 0.573 0.211 0.889
Cu5 Cu 0.789 0.111 0.427
Cu6 Cu 0.889 0.573 0.211
Pb1 Pb 0.332 0.332 0.332
Pb2 Pb 0.668 0.668 0.668
O1 O 0.098 0.759 0.442
O2 O 0.241 0.558 0.902
O3 O 0.442 0.098 0.759
O4 O 0.558 0.902 0.241
O5 O 0.759 0.442 0.098
O6 O 0.902 0.241 0.558
```

Calculated values
Space group: No. 148

---

Density functional theory data (GGA-PBE) for CuPb3O after structural relaxation.

```
data_CuPb3O
_space_group_name_H-M_alt 'P 1'
_space_group_IT_number 1
_cell_length_a 4.965
_cell_length_b 4.965
_cell_length_c 4.965
_cell_angle_alpha 90.00
_cell_angle_beta 90.00
_cell_angle_gamma 90.00
loop_
_space_group_symop_operation_xyz
'x,y,z'
loop_
_atom_site_label
_atom_site_type_symbol
_atom_site_fract_x
_atom_site_fract_y
_atom_site_fract_z
Cu1 Cu 0.000 0.000 0.000
Pb1 Pb 0.000 0.500 0.500
Pb2 Pb 0.500 0.000 0.500
Pb3 Pb 0.500 0.500 0.000
O1 O 0.500 0.500 0.500
```

Calculated values
Excess energy over the best structure of this formula in the dataset in eV/atom: 0.0000
Space group: No. 221

---

Density functional theory data (GGA-PBE) for CuPb3O after structural relaxation.

```
data_CuPb3O
_space_group_name_H-M_alt 'P 1'
_space_group_IT_number 1
_cell_length_a 5.132
_cell_length_b 5.132
_cell_length_c 5.132
_cell_angle_alpha 90.00
_cell_angle_beta 90.00
_cell_angle_gamma 90.00
loop_
_space_group_symop_operation_xyz
'x,y,z'
loop_
_atom_site_label
_atom_site_type_symbol
_atom_site_fract_x
_atom_site_fract_y
_atom_site_fract_z
Cu1 Cu 0.000 0.000 0.000
Pb1 Pb 0.000 0.000 0.500
Pb2 Pb 0.000 0.500 0.000
Pb3 Pb 0.500 0.000 0.000
O1 O 0.500 0.500 0.500
```

Calculated values
Excess energy over the best structure of this formula in the dataset in eV/atom: 0.5109
Space group: No. 221

---

Density functional theory data (GGA-PBE) for CuPb3O6 after structural relaxation.

```
data_CuPb3O6
_space_group_name_H-M_alt 'P 1'
_space_group_IT_number 1
_cell_length_a 7.270
_cell_length_b 7.270
_cell_length_c 5.540
_cell_angle_alpha 90.00
_cell_angle_beta 90.00
_cell_angle_gamma 102.09
loop_
_space_group_symop_operation_xyz
'x,y,z'
loop_
_atom_site_label
_atom_site_type_symbol
_atom_site_fract_x
_atom_site_fract_y
_atom_site_fract_z
Cu1 Cu 0.189 0.811 0.500
Cu2 Cu 0.811 0.189 0.000
Pb1 Pb 0.078 0.301 0.477
Pb2 Pb 0.301 0.078 0.977
Pb3 Pb 0.394 0.606 0.922
Pb4 Pb 0.606 0.394 0.422
Pb5 Pb 0.699 0.922 0.477
Pb6 Pb 0.922 0.699 0.977
O1 O 0.049 0.951 0.704
O2 O 0.118 0.571 0.704
O3 O 0.220 0.780 0.165
O4 O 0.320 0.371 0.197
O5 O 0.371 0.320 0.697
O6 O 0.429 0.882 0.704
O7 O 0.571 0.118 0.204
O8 O 0.629 0.680 0.197
O9 O 0.680 0.629 0.697
O10 O 0.780 0.220 0.665
O11 O 0.882 0.429 0.204
O12 O 0.951 0.049 0.204
```

Calculated values
Space group: No. 36

---

Density functional theory data (GGA-PBE) for CuPdPbO4 after structural relaxation.

```
data_CuPdPbO4
_space_group_name_H-M_alt 'P 1'
_space_group_IT_number 1
_cell_length_a 6.607
_cell_length_b 6.607
_cell_length_c 6.607
_cell_angle_alpha 124.89
_cell_angle_beta 121.69
_cell_angle_gamma 84.41
loop_
_space_group_symop_operation_xyz
'x,y,z'
loop_
_atom_site_label
_atom_site_type_symbol
_atom_site_fract_x
_atom_site_fract_y
_atom_site_fract_z
Cu1 Cu 0.500 0.000 0.000
Cu2 Cu 0.500 0.500 0.500
Pd1 Pd 0.000 0.000 0.000
Pd2 Pd 0.500 0.000 0.500
Pb1 Pb 0.092 0.342 0.750
Pb2 Pb 0.908 0.658 0.250
O1 O 0.241 0.204 0.463
O2 O 0.241 0.778 0.037
O3 O 0.266 0.210 0.056
O4 O 0.345 0.790 0.556
O5 O 0.655 0.210 0.444
O6 O 0.734 0.790 0.944
O7 O 0.759 0.222 0.963
O8 O 0.759 0.796 0.537
```

Calculated values
Space group: No. 74

---

Density functional theory data (GGA-PBE) for CuPdPb2O6 after structural relaxation.

```
data_CuPdPb2O6
_space_group_name_H-M_alt 'P 1'
_space_group_IT_number 1
_cell_length_a 5.770
_cell_length_b 5.770
_cell_length_c 5.770
_cell_angle_alpha 57.91
_cell_angle_beta 57.91
_cell_angle_gamma 57.91
loop_
_space_group_symop_operation_xyz
'x,y,z'
loop_
_atom_site_label
_atom_site_type_symbol
_atom_site_fract_x
_atom_site_fract_y
_atom_site_fract_z
Cu1 Cu 0.000 0.000 0.000
Pd1 Pd 0.494 0.494 0.494
Pb1 Pb 0.276 0.276 0.276
Pb2 Pb 0.783 0.783 0.783
O1 O 0.131 0.717 0.361
O2 O 0.222 0.640 0.845
O3 O 0.361 0.131 0.717
O4 O 0.640 0.845 0.222
O5 O 0.717 0.361 0.131
O6 O 0.845 0.222 0.640
```

Calculated values
Space group: No. 146

---

Density functional theory data (GGA-PBE) for PmCu2PbO6 after structural relaxation.

```
data_PmCu2PbO6
_space_group_name_H-M_alt 'P 1'
_space_group_IT_number 1
_cell_length_a 5.574
_cell_length_b 5.574
_cell_length_c 5.574
_cell_angle_alpha 58.98
_cell_angle_beta 58.98
_cell_angle_gamma 58.98
loop_
_space_group_symop_operation_xyz
'x,y,z'
loop_
_atom_site_label
_atom_site_type_symbol
_atom_site_fract_x
_atom_site_fract_y
_atom_site_fract_z
Pm1 Pm 0.000 0.000 0.000
Cu1 Cu 0.267 0.267 0.267
Cu2 Cu 0.768 0.768 0.768
Pb1 Pb 0.484 0.484 0.484
O1 O 0.041 0.602 0.436
O2 O 0.127 0.535 0.911
O3 O 0.436 0.041 0.602
O4 O 0.535 0.911 0.127
O5 O 0.602 0.436 0.041
O6 O 0.911 0.127 0.535
```

Calculated values
Space group: No. 146

---

Density functional theory data (GGA-PBE) for PmCu2PbO5 after structural relaxation.

```
data_PmCu2PbO5
_space_group_name_H-M_alt 'P 1'
_space_group_IT_number 1
_cell_length_a 3.872
_cell_length_b 3.872
_cell_length_c 7.733
_cell_angle_alpha 90.00
_cell_angle_beta 90.00
_cell_angle_gamma 90.00
loop_
_space_group_symop_operation_xyz
'x,y,z'
loop_
_atom_site_label
_atom_site_type_symbol
_atom_site_fract_x
_atom_site_fract_y
_atom_site_fract_z
Pm1 Pm 0.000 0.000 0.000
Cu1 Cu 0.500 0.500 0.239
Cu2 Cu 0.500 0.500 0.761
Pb1 Pb 0.000 0.000 0.500
O1 O 0.000 0.500 0.193
O2 O 0.000 0.500 0.807
O3 O 0.500 0.000 0.193
O4 O 0.500 0.000 0.807
O5 O 0.500 0.500 0.500
```

Calculated values
Space group: No. 123

---

Density functional theory data (GGA-PBE) for Pm2CuPbO6 after structural relaxation.

```
data_Pm2CuPbO6
_space_group_name_H-M_alt 'P 1'
_space_group_IT_number 1
_cell_length_a 5.972
_cell_length_b 5.972
_cell_length_c 5.531
_cell_angle_alpha 114.92
_cell_angle_beta 114.92
_cell_angle_gamma 55.44
loop_
_space_group_symop_operation_xyz
'x,y,z'
loop_
_atom_site_label
_atom_site_type_symbol
_atom_site_fract_x
_atom_site_fract_y
_atom_site_fract_z
Pm1 Pm 0.244 0.244 0.205
Pm2 Pm 0.756 0.756 0.795
Cu1 Cu 0.500 0.500 0.000
Pb1 Pb 0.000 0.000 0.500
O1 O 0.177 0.656 0.148
O2 O 0.222 0.222 0.596
O3 O 0.344 0.823 0.852
O4 O 0.656 0.177 0.148
O5 O 0.778 0.778 0.404
O6 O 0.823 0.344 0.852
```

Calculated values
Space group: No. 12

---

Uncorrected formation energy / meV per atom: -484; -534; -153; -405; -7; 504; -770; -600; -674; -1295; -1375; -2015
DFT total energy / eV/atom: -5.020; -5.108; -4.367; -4.816; -4.043; -3.532; -5.267; -5.290; -5.320; -5.935; -5.980; -6.720